This record from the Alexandria database describes a relaxed structure of Zn2SbPd2. The functional is PBE. Values from VASP.

The structure in Quantum ESPRESSO input format:
```
&SYSTEM
  ibrav = 0, nat = 5, ntyp = 3
/
ATOMIC_SPECIES
Sb 121.76 Sb.upf
Zn 65.41 Zn.upf
Pd 106.42 Pd.upf
ATOMIC_POSITIONS crystal
Sb 0.0000 0.0000 0.0000
Zn 0.3879 0.3879 0.2242
Zn 0.6121 0.6121 0.7758
Pd 0.7500 0.2500 0.5000
Pd 0.2500 0.7500 0.5000
CELL_PARAMETERS angstrom
4.0804 0.0000 0.0000
0.0000 4.0804 0.0000
2.0402 2.0402 5.5007
```

Values from the calculation:
- total energy (eV per cell) = -17.6
- formation energy without anion corrections (meV/atom) = -105
- Fermi-level density of states (states/eV/atom) = 0.437
- V (Å³ per cell) = 91.6